Here is TePd3 after structural relaxation from Alexandria. Energies are from PBE.

Cell: 10.814 10.814 4.920 Å, 90.00 90.00 90.00°
Space group P4_2/n (No. 86, origin choice 2)
Asymmetric unit:
Te (0.026, 0.197, 0.037) (multiplicity 8)
Pd (0.025, 0.577, 0.779) (multiplicity 8)
Pd (0.121, 0.216, 0.532) (multiplicity 8)
Pd (0.133, 0.699, 0.304) (multiplicity 8)

Calculated values
Formation energy (no corrections) (eV/atom): -0.2117
Fermi-level density of states (states/eV per cell): 19.2
Total magnetization (μB per atom): 0.0000
E (eV per atom): -4.89
Offset from the most stable computed form (kJ/mol of formula units): 9

Here is AcPmY3Tm after structural relaxation from Alexandria. Energies are from PBE.

Cell: 20.180 5.720 7.311 Å, 90.00 90.15 90.00°
Space group C2/m (No. 12)
Asymmetric unit:
Ac (0.145, 0.000, 0.029) (multiplicity 4)
Pm (0.055, 0.500, 0.291) (multiplicity 4)
Y (0.021, 0.000, 0.724) (multiplicity 4)
Y (0.164, 0.500, 0.722) (multiplicity 4)
Y (0.219, 0.500, 0.255) (multiplicity 4)
Tm (0.151, 0.000, 0.466) (multiplicity 4)

Calculated values
Fermi-level density of states (states/eV per cell): 40.7
Total magnetization (μB per atom): 0.0000
E (eV per atom): -5.23
Formation energy (eV per atom): 0.23

Here is NaHgTe3 after structural relaxation from Alexandria. Energies are from PBE.

Cell: 5.716 5.716 5.716 Å, 90.00 90.00 90.00°
Space group Pm-3m (No. 221)
Asymmetric unit:
Na (0.000, 0.000, 0.000) (multiplicity 1)
Hg (0.500, 0.500, 0.500) (multiplicity 1)
Te (0.000, 0.500, 0.500) (multiplicity 3)

Calculated values
Formation energy (no corrections) (eV/atom): 0.1672
Fermi-level density of states (states/eV per cell): 6.5
Total magnetization (μB per atom): 0.0000
E (eV per atom): -2.04
Offset from the most stable computed form (kJ/mol of formula units): 130

Here is CsK2UF8 after structural relaxation from Alexandria. Energies are from PBE.

Cell: 6.099 6.099 12.671 Å, 90.00 90.00 90.00°
Space group I-4m2 (No. 119)
Asymmetric unit:
Cs (0.000, 0.000, 0.000) (multiplicity 2)
K (0.000, 0.000, 0.500) (multiplicity 2)
K (0.000, 0.500, 0.750) (multiplicity 2)
U (0.000, 0.500, 0.250) (multiplicity 2)
F (0.206, 0.285, 0.351) (multiplicity 16)

Calculated values
Formation energy (no corrections) (eV/atom): -3.2261
Fermi-level density of states (states/eV per cell): 16.0
Total magnetization (μB per atom): 0.0833
E (eV per atom): -5.67